Compound: CsSrF2
Source: the Alexandria database
Functional: PBE
Structure: relaxed Values from VASP.

Properties
V = 89.8 Å³ per cell
E_form (uncorrected) = -2.07 eV/atom
density = 4.8 g/cm3

```
&SYSTEM
  ibrav = 0, nat = 4, ntyp = 3
/
ATOMIC_SPECIES
Cs 132.91 Cs.upf
Sr 87.62 Sr.upf
F 19.00 F.upf
ATOMIC_POSITIONS crystal
Cs 0.500 0.500 0.500
Sr 0.000 0.000 0.000
F 0.250 0.250 0.250
F 0.750 0.750 0.750
CELL_PARAMETERS angstrom
0.000 3.554 3.554
3.554 0.000 3.554
3.554 3.554 0.000
```